GGA-PBEsol ZnSi4Cl, relaxed; energy = -24.1 eV/cell; raw formation energy = 2.47 eV per formula unit
1.0
-3.862 3.357 -0.721
-2.983 -0.357 -4.205
-4.904 -1.570 0.437
Si Zn Cl
4 1 1
Direct
0.374 0.374 0.374 Si
0.878 0.374 0.374 Si
0.374 0.878 0.374 Si
0.374 0.374 0.878 Si
0.750 0.750 0.750 Zn
0.000 0.000 0.000 Cl